Density functional theory data (PBE) for a geometry-optimized Rb2CdSb2Pb structure.

a b c (Å): 7.3373 7.4342 10.0002
angles (deg): 111.82 111.52 90.00
Closest atoms and distances in Å follow each position.
Fractional coordinates of all 12 atoms:
1 Rb 0.4144 0.1714 0.3429  5 Sb 3.73-3.98, 2 Pb 3.90, 2 Cd 3.94
2 Rb 0.5856 0.8286 0.6571  5 Sb 3.73-3.98, 2 Pb 3.90, 2 Cd 3.94
3 Rb 0.0716 0.3286 0.6571  5 Sb 3.73-3.98, 2 Pb 3.90, 2 Cd 3.94
4 Rb 0.9284 0.6714 0.3429  5 Sb 3.73-3.98, 2 Pb 3.90, 2 Cd 3.94
5 Cd 0.5000 0.7500 0.0000  4 Sb 3.03
6 Cd 0.5000 0.2500 0.0000  4 Sb 3.03
7 Sb 0.8266 0.1018 0.2036  2 Cd 3.03, 2 Pb 3.25
8 Sb 0.3769 0.6018 0.2036  2 Cd 3.03, 2 Pb 3.25
9 Sb 0.6231 0.3982 0.7964  2 Cd 3.03, 2 Pb 3.25
10 Sb 0.1734 0.8982 0.7964  2 Cd 3.03, 2 Pb 3.25
11 Pb 0.0000 0.7500 0.0000  4 Sb 3.25
12 Pb 0.0000 0.2500 0.0000  4 Sb 3.25

Properties
uncorrected formation energy	-0.33	eV per atom
crystal system	orthorhombic
space-group type	No. 72



Density functional theory data (PBE) for a geometry-optimized RbCdSb2Pb structure.

a b c (Å): 6.0752 5.8991 6.0752
angles (deg): 90.00 90.00 90.00
Closest atoms and distances in Å follow each position.
Fractional coordinates of all 5 atoms:
1 Pb 0.5000 0.5000 0.5000  8 Sb 4.23, 4 Cd 4.30
2 Sb 0.0000 0.0000 0.5000  2 Rb 3.04
3 Sb 0.5000 0.0000 0.0000  2 Rb 3.04
4 Rb 0.0000 0.0000 0.0000  2 Cd 2.95, 4 Sb 3.04
5 Cd 0.0000 0.5000 0.0000  2 Rb 2.95

Properties
uncorrected formation energy	1.03	eV per atom
crystal system	tetragonal
space-group type	No. 123



Density functional theory data (PBE) for a geometry-optimized RbCd2Sb2Pb structure.

a b c (Å): 5.1632 5.1632 8.6660
angles (deg): 90.00 90.00 120.00
Closest atoms and distances in Å follow each position.
Fractional coordinates of all 6 atoms:
1 Rb 0.0000 0.0000 0.0000  6 Sb 3.90, 6 Cd 4.15, 2 Pb 4.33
2 Cd 0.6667 0.3333 0.6676  4 Sb 3.00-3.28, 3 Pb 3.32
3 Cd 0.3333 0.6667 0.3324  4 Sb 3.00-3.28, 3 Pb 3.32
4 Sb 0.6667 0.3333 0.2895  4 Cd 3.00-3.28
5 Sb 0.3333 0.6667 0.7105  4 Cd 3.00-3.28
6 Pb 0.0000 0.0000 0.5000  6 Cd 3.32, 6 Sb 3.49

Properties
uncorrected formation energy	-0.18	eV per atom
crystal system	trigonal
space-group type	No. 164



Density functional theory data (PBE) for a geometry-optimized Rb2Cd3Sb4Pb structure.

a b c (Å): 5.3734 5.3734 11.6453
angles (deg): 90.00 90.00 90.00
Closest atoms and distances in Å follow each position.
Fractional coordinates of all 10 atoms:
1 Rb 0.5000 0.0000 0.2383  8 Sb 3.86-4.09, 7 Cd 4.06-4.13, 2 Pb 4.06
2 Rb 0.0000 0.5000 0.7617  8 Sb 3.86-4.09, 7 Cd 4.06-4.13, 2 Pb 4.06
3 Cd 0.0000 0.0000 0.5000  4 Sb 3.10
4 Cd 0.5000 0.0000 0.8834  5 Sb 2.93-3.01
5 Cd 0.0000 0.5000 0.1166  5 Sb 2.93-3.01
6 Sb 0.5000 0.5000 0.0000  4 Cd 3.01
7 Sb 0.0000 0.0000 0.0000  4 Cd 3.01
8 Sb 0.5000 0.0000 0.6320  3 Cd 2.93-3.10, 2 Pb 3.10
9 Sb 0.0000 0.5000 0.3680  3 Cd 2.93-3.10, 2 Pb 3.10
10 Pb 0.5000 0.5000 0.5000  4 Sb 3.10

Properties
uncorrected formation energy	-0.22	eV per atom
crystal system	tetragonal
space-group type	No. 115



Density functional theory data (PBE) for a geometry-optimized Rb2CdSiPb structure.

a b c (Å): 6.8247 4.7602 6.8247
angles (deg): 90.00 90.00 90.00
Closest atoms and distances in Å follow each position.
Fractional coordinates of all 5 atoms:
1 Pb 0.5000 0.5000 0.5000  8 Rb 4.16
2 Si 0.0000 0.5000 0.0000  2 Cd 2.38
3 Rb 0.0000 0.0000 0.5000  2 Cd 3.41
4 Rb 0.5000 0.0000 0.0000  2 Cd 3.41
5 Cd 0.0000 0.0000 0.0000  2 Si 2.38

Properties
uncorrected formation energy	0.43	eV per atom
crystal system	tetragonal
space-group type	No. 123



Density functional theory data (PBE) for a geometry-optimized RbCd2Sn2Pb structure.

a b c (Å): 5.0811 5.0811 8.8980
angles (deg): 90.00 90.00 120.00
Closest atoms and distances in Å follow each position.
Fractional coordinates of all 6 atoms:
1 Rb 0.0000 0.0000 0.0000  6 Sn 3.87, 6 Cd 4.09
2 Cd 0.6667 0.3333 0.3205  3 Sn 2.95
3 Cd 0.3333 0.6667 0.6795  3 Sn 2.95
4 Sn 0.6667 0.3333 0.7170  3 Cd 2.95
5 Sn 0.3333 0.6667 0.2830  3 Cd 2.95
6 Pb 0.0000 0.0000 0.5000  6 Cd 3.34, 6 Sn 3.51

Properties
crystal system	trigonal
space-group type	No. 164
DFT formation energy	-0.05	eV/atom



no.,ρ (g cm⁻³)
1,5.24
2,4.95
3,6.32
4,5.94
5,3.88
6,6.30